Ca5Ac: optimized geometry, PBE-GGA.

## Properties
formation enthalpy at 0 K = 0.04 eV per atom
relative energy among the computed polymorphs = 0.017 eV per atom

Geometry as extended XYZ:
```
6
Lattice="3.123 -9.335 0.000 3.123 9.335 0.000 0.000 0.000 4.323" Properties=species:S:1:pos:R:3 pbc="T T T"
Ca 0.000 0.000 0.000
Ca 3.123 6.319 2.162
Ca 3.123 3.187 0.000
Ca 3.123 -3.187 0.000
Ca 3.123 -6.319 2.162
Ac 3.123 0.000 2.162
```

=====

Ca8Ac: optimized geometry, PBE-GGA.

## Properties
formation enthalpy at 0 K = 0.03 eV per atom

Geometry as extended XYZ:
```
9
Lattice="-5.842 5.842 2.810 5.842 -5.842 2.810 5.842 5.842 -2.810" Properties=species:S:1:pos:R:3 pbc="T T T"
Ca 3.903 0.000 0.000
Ca 7.781 0.000 0.000
Ca 3.885 3.885 0.000
Ca 1.957 -1.957 2.810
Ca 0.000 3.903 0.000
Ca 0.000 7.781 0.000
Ca -1.957 1.957 2.810
Ca 1.957 1.957 2.810
Ac 0.000 0.000 0.000
```

=====

CaAc5: optimized geometry, PBE-GGA.

## Properties
formation enthalpy at 0 K = 0.02 eV per atom
relative energy among the computed polymorphs = 0.000 eV per atom

Geometry as extended XYZ:
```
6
Lattice="2.824 -8.317 0.000 2.824 8.317 0.000 0.000 0.000 5.691" Properties=species:S:1:pos:R:3 pbc="T T T"
Ca 0.000 0.000 0.000
Ac 2.824 5.510 2.845
Ac 2.824 2.794 0.000
Ac 2.824 0.000 2.845
Ac 2.824 -2.794 0.000
Ac 2.824 -5.510 2.845
```

=====

Ca4Ac: optimized geometry, PBE-GGA.

## Properties
formation enthalpy at 0 K = 0.04 eV per atom
relative energy among the computed polymorphs = 0.023 eV per atom

Geometry as extended XYZ:
```
5
Lattice="-1.948 2.780 9.869 1.948 -2.780 9.869 1.948 2.780 -9.869" Properties=species:S:1:pos:R:3 pbc="T T T"
Ca 0.000 0.000 1.993
Ca 0.000 0.000 5.911
Ca 0.000 0.000 13.826
Ca 0.000 0.000 17.744
Ac 0.000 0.000 9.869
```

=====

Ca5Ac3: optimized geometry, PBE-GGA.

## Properties
formation enthalpy at 0 K = 0.06 eV per atom
relative energy among the computed polymorphs = 0.036 eV per atom

Geometry as extended XYZ:
```
8
Lattice="2.084 -3.211 0.000 2.084 3.211 0.000 0.000 0.000 25.928" Properties=species:S:1:pos:R:3 pbc="T T T"
Ca 0.000 0.000 0.000
Ca 0.000 0.000 6.364
Ca 0.000 0.000 19.565
Ca 2.084 0.000 3.182
Ca 2.084 0.000 22.746
Ac 0.000 0.000 12.964
Ac 2.084 0.000 9.655
Ac 2.084 0.000 16.274
```

=====

CaAc5: optimized geometry, PBE-GGA.

## Properties
formation enthalpy at 0 K = 0.07 eV per atom
relative energy among the computed polymorphs = 0.051 eV per atom

Geometry as extended XYZ:
```
6
Lattice="3.207 -9.881 0.000 3.207 9.881 0.000 0.000 0.000 4.247" Properties=species:S:1:pos:R:3 pbc="T T T"
Ca 0.000 0.000 0.000
Ac 3.207 6.882 2.124
Ac 3.207 3.532 0.000
Ac 3.207 0.000 2.124
Ac 3.207 -3.532 0.000
Ac 3.207 -6.882 2.124
```

=====

- Which value of formation enthalpy at 0 K does entry 5 give?
  0.06 eV per atom